Computed, not measured: a relaxed Na4Mn3GeO8 crystal at the PBE with a Hubbard U level of DFT.

Lattice parameters (Å, degrees): 6.3056 6.5416 6.1806 119.24 120.67 90.00
With the nearest neighbours (Å) after each atom.
Element x y z (fractional)
Ge 0.0000 0.5000 0.0000  6 O 1.92-2.02
O 0.2073 0.6941 0.9572  2 Mn 2.01-2.22, 1 Ge 2.02
O 0.2579 0.3177 0.5159  3 Mn 2.01-2.14
Na 0.5000 0.0000 0.5000  4 O 2.29-2.41
O 0.7421 0.6823 0.4841  3 Mn 2.01-2.14
Na 0.0000 0.0000 0.5000  4 O 2.29-2.41
O 0.2189 0.7203 0.4378  1 Ge 1.92
Na 0.5000 0.0000 0.0000  6 O 2.46-2.54
Na 0.0000 0.0000 0.0000  6 O 2.32-2.37
Mn 0.0000 0.5000 0.5000  4 O 2.01
O 0.7927 0.3059 0.0428  2 Mn 2.01-2.22, 1 Ge 2.02
Mn 0.5000 0.5000 0.0000  6 O 2.14-2.22
O 0.2502 0.3059 0.0428  2 Mn 2.01-2.22, 1 Ge 2.02
O 0.7811 0.2797 0.5622  1 Ge 1.92
O 0.7498 0.6941 0.9572  2 Mn 2.01-2.22, 1 Ge 2.02
Mn 0.5000 0.5000 0.5000  4 O 2.01

Calculated values
DOS(E_F): 0.7 states/eV per cell
Calculated volume: 180.5 Å³ per cell
Symmetry: C2/m, No. 12
Electronic total energy: -98.5 eV/cell